KZrFe2: optimized geometry, PBE.

Cell and atoms, written as POSCAR:
```
KZrFe2
1.0
4.8749 0.0015 0.0254
3.9040 2.9194 0.0254
2.1503 0.7155 7.2263
Zr K Fe
1 1 2
Direct
0.6725 0.6725 0.9620
0.5204 0.5204 0.4907
0.3498 0.3498 0.1346
0.9573 0.9573 0.9127
```

Values from the calculation:
Formation energy from the elements   0.658 eV/atom
Space group   Cm
Fermi-level density of states   2.751 states/eV per cell
Offset from the most stable computed form   158 meV/atom
Magnetization   4.0 μB per cell


KZrFe2: optimized geometry, PBE.

Cell and atoms, written as POSCAR:
```
KZrFe2
1.0
-4.0019 2.4727 0.3158
-2.5044 0.9377 -3.8831
-4.1480 -2.1288 -0.7011
Fe Zr K
2 1 1
Direct
0.2500 0.2500 0.2500
0.0000 0.0000 0.0000
0.7500 0.7500 0.7500
0.5000 0.5000 0.5000
```

Values from the calculation:
Formation energy from the elements   1.138 eV/atom
Space group   F-43m
Fermi-level density of states   5.329 states/eV per cell
Offset from the most stable computed form   638 meV/atom
Magnetization   3.4 μB per cell


KZrFe2: optimized geometry, PBE.

Cell and atoms, written as POSCAR:
```
KZrFe2
1.0
-8.9974 2.4035 -2.8287
-9.6916 0.8898 -0.1099
-8.8847 3.9738 -0.0562
K Zr Fe
1 1 2
Direct
0.2500 0.2500 0.2500
0.7500 0.7500 0.7500
0.4838 0.4838 0.4838
0.0162 0.0162 0.0162
```

Values from the calculation:
Formation energy from the elements   0.815 eV/atom
Space group   R-3m
Fermi-level density of states   6.093 states/eV per cell
Offset from the most stable computed form   316 meV/atom
Magnetization   3.7 μB per cell


KZrFe2: optimized geometry, PBE.

Cell and atoms, written as POSCAR:
```
KZrFe2
1.0
5.7441 0.0185 0.0640
2.0529 5.3647 -0.0640
-2.9682 -4.0390 2.8062
Fe Zr K
2 1 1
Direct
0.0327 0.0327 0.0000
0.4673 0.4673 0.0000
0.2500 0.7500 0.5000
0.7500 0.2500 0.5000
```

Values from the calculation:
Formation energy from the elements   1.182 eV/atom
Space group   Immm
Fermi-level density of states   5.939 states/eV per cell
Offset from the most stable computed form   682 meV/atom
Magnetization   3.8 μB per cell


K4ZrFe: optimized geometry, PBE.

Cell and atoms, written as POSCAR:
```
K4ZrFe
1.0
5.3419 -2.2419 -4.2081
2.4212 -6.7153 0.5593
-1.2983 -4.7206 -5.2250
K Zr Fe
4 1 1
Direct
0.6254 0.6254 0.1237
0.1237 0.6254 0.6254
0.6254 0.1237 0.6254
0.6254 0.6254 0.6254
0.2500 0.2500 0.2500
0.0000 0.0000 0.0000
```

Values from the calculation:
Formation energy from the elements   1.362 eV/atom
Space group   F-43m
Fermi-level density of states   16.751 states/eV per cell
Magnetization   6.5 μB per cell


KZrFe4: optimized geometry, PBE.

Cell and atoms, written as POSCAR:
```
KZrFe4
1.0
0.0000 3.6055 3.6055
3.6055 0.0000 3.6055
3.6055 3.6055 0.0000
Fe K Zr
4 1 1
Direct
0.3745 0.3745 0.8764
0.3745 0.8764 0.3745
0.3745 0.3745 0.3745
0.8764 0.3745 0.3745
0.7500 0.7500 0.7500
0.0000 0.0000 0.0000
```

Values from the calculation:
Formation energy from the elements   0.592 eV/atom
Space group   F-43m
Fermi-level density of states   9.158 states/eV per cell
Magnetization   6.9 μB per cell


KZrFe2: optimized geometry, PBE.

Cell and atoms, written as POSCAR:
```
KZrFe2
1.0
5.5750 0.0249 0.0000
2.5934 4.9351 0.0000
-4.0842 -2.4800 2.8723
K Zr Fe
1 1 2
Direct
0.5000 0.5000 0.0000
0.7500 0.2500 0.5000
0.0000 0.0000 0.0000
0.2500 0.7500 0.5000
```

Values from the calculation:
Formation energy from the elements   1.182 eV/atom
Space group   I-4m2
Fermi-level density of states   4.852 states/eV per cell
Offset from the most stable computed form   682 meV/atom
Magnetization   4.0 μB per cell


KZr3Fe: optimized geometry, PBE.

Cell and atoms, written as POSCAR:
```
KZr3Fe
1.0
4.7805 0.0000 0.0000
0.0000 4.7805 0.0000
0.0000 0.0000 4.7805
K Fe Zr
1 1 3
Direct
0.0000 0.0000 0.0000
0.5000 0.5000 0.5000
0.0000 0.5000 0.0000
0.0000 0.0000 0.5000
0.5000 0.0000 0.0000
```

Values from the calculation:
Formation energy from the elements   2.397 eV/atom
Space group   Pm-3m
Fermi-level density of states   11.113 states/eV per cell
Offset from the most stable computed form   1830 meV/atom
Magnetization   0.0 μB per cell